# Si2SbPbC

An optimized crystal structure of Si2SbPbC (PBE, the Alexandria database).

Its electronic total energy is -18.16 eV for the cell shown. The magnetic moment comes out at 0.0 μB per cell. As for the crystal system: tetragonal.

Lattice parameters (Å, degrees): 5.390 5.390 4.304 90.00 90.00 90.00
Positions (direct):
Si  0.000  0.500  0.000
Si  0.500  0.000  0.000
Sb  0.000  0.000  0.500
Pb  0.500  0.500  0.000
C  0.500  0.500  0.500